[1]
Entry from the Open Quantum Materials Database: crystalline Li4Ag2SnBi at its relaxed geometry (PBE).

extended XYZ file:
```
8
Lattice="-3.314 2.017 -2.629 2.109 -1.584 -3.873 -3.636 -5.581 0.302" Properties=species:S:1:pos:R:3 pbc="T T T"
Ag 0.083 -2.283 -1.856
Ag -4.322 -3.082 -1.093
Bi 0.000 0.000 0.000
Li -0.602 0.216 -3.251
Li -2.589 -0.422 -1.237
Li -1.818 -2.791 0.151
Li -1.650 -4.943 -1.712
Sn -2.420 -2.574 -3.100
```

Calculated values
- Space group: P-4m2
- DFT total energy: -3.04 eV/atom

[2]
Entry from the Open Quantum Materials Database: crystalline MgCdAu2 at its relaxed geometry (PBE).

extended XYZ file:
```
8
Lattice="-4.675 1.453 0.084 -1.769 -5.614 -1.329 0.692 1.897 5.687" Properties=species:S:1:pos:R:3 pbc="T T T"
Au -2.529 -3.994 -0.301
Au -1.662 -1.254 0.578
Au -3.582 0.744 1.808
Au -3.177 1.889 4.557
Cd -4.443 -1.979 1.041
Cd -1.290 -0.218 3.323
Mg -2.209 -3.140 2.748
Mg -4.117 -1.103 4.014
```

Calculated values
- Space group: Ama2
- DFT total energy: -2.54 eV/atom

[3]
Entry from the Open Quantum Materials Database: crystalline SrErTe2AuS at its relaxed geometry (PBE).

extended XYZ file:
```
12
Lattice="7.064 0.090 -2.806 -7.402 1.137 -1.300 1.035 10.094 2.931" Properties=species:S:1:pos:R:3 pbc="T T T"
Au -0.201 3.158 -1.290
Au 0.898 8.163 0.115
Er 0.000 0.000 0.000
Er 0.518 5.047 1.465
S -6.032 3.580 -0.683
S 6.729 7.741 -0.492
Sr 3.390 2.898 -1.664
Sr -2.694 8.423 0.488
Te -2.250 1.328 -1.668
Te -1.847 5.255 -0.528
Te 2.544 6.066 -0.648
Te 2.947 9.992 0.492
```

Calculated values
- Total magnetization: 0.00 μB/f.u.
- Space group: Cmcm
- DFT total energy: -4.59 eV/atom

Number 1 is which compound?
Li4Ag2SnBi